[1]
# TiSbTe2C

TiSbTe2C after structural relaxation (PBEsol, the Alexandria database).

a b c (Å): 5.152 5.152 5.190
angles (deg): 90.00 90.00 90.00
Space group P4/mmm (No. 123)
Unique sites:
Ti 0.000 0.000 0.000
Sb 0.000 0.000 0.500
Te 0.000 0.500 0.000
C 0.500 0.500 0.500

## Properties
ΔE_f (raw)   1395 meV/atom
Energy   -4.52 eV per atom
Magnetization   1.8 μB per formula unit


[2]
# SbTe2WC

SbTe2WC after structural relaxation (PBEsol, the Alexandria database).

a b c (Å): 5.176 5.176 5.226
angles (deg): 90.00 90.00 90.00
Space group P4/mmm (No. 123)
Unique sites:
Sb 0.000 0.000 0.000
Te 0.000 0.500 0.500
W 0.000 0.000 0.500
C 0.500 0.500 0.000

## Properties
ΔE_f (raw)   1919 meV/atom
Energy   -5.09 eV per atom
Magnetization   2.0 μB per formula unit


[3]
# YSbTe2C

YSbTe2C after structural relaxation (PBEsol, the Alexandria database).

a b c (Å): 5.685 5.685 5.768
angles (deg): 90.00 90.00 90.00
Space group P4/mmm (No. 123)
Unique sites:
Y 0.000 0.000 0.000
Sb 0.000 0.000 0.500
Te 0.000 0.500 0.000
C 0.500 0.500 0.500

## Properties
ΔE_f (raw)   1528 meV/atom
Energy   -4.09 eV per atom
Magnetization   1.6 μB per formula unit